No. 1
Below is Fe2CuTcAu after structural relaxation, with properties calculated at the GGA-PBEsol level.

For the formation energy, the calculation gives 1.479 eV per atom.

The structure belongs to space group P4/mmm (No. 123); the cell edges are 4.270, 4.270 and 4.587 Å and the angles 90.00°, 90.00° and 90.00°. The distinct sites, in fractional coordinates, are Fe at (0.000, 0.500, 0.000), Cu at (0.000, 0.000, 0.500), Tc at (0.000, 0.000, 0.000) and Au at (0.500, 0.500, 0.500).



No. 2
Below is CdTcNi2 after structural relaxation, with properties calculated at the GGA-PBEsol level.

For the formation energy, the calculation gives 0.394 eV per atom.

The structure belongs to space group I-4m2 (No. 119); the cell edges are 3.681, 3.681 and 7.927 Å and the angles 90.00°, 90.00° and 90.00°. The distinct sites, in fractional coordinates, are Cd at (0.000, 0.000, 0.000), Tc at (0.000, 0.500, 0.750), Ni at (0.000, 0.000, 0.500) and Ni at (0.000, 0.500, 0.250).



No. 3
Below is RbYOF2 after structural relaxation, with properties calculated at the GGA-PBEsol level.

The calculation puts the formation energy from raw total energies at -1.263 eV per atom.

The structure belongs to space group P4/mmm (No. 123); the cell edges are 4.548, 4.548 and 4.870 Å and the angles 90.00°, 90.00° and 90.00°. The distinct sites, in fractional coordinates, are Rb at (0.000, 0.000, 0.000), Y at (0.500, 0.500, 0.500), O at (0.000, 0.000, 0.500) and F at (0.000, 0.500, 0.000).



No. 4
Below is Ba2SbIr after structural relaxation, with properties calculated at the GGA-PBEsol level.

The calculation puts the formation energy from raw total energies at -0.461 eV per atom.

The structure belongs to space group Amm2 (No. 38); the cell edges are 4.763, 4.969 and 11.127 Å and the angles 90.00°, 90.00° and 90.00°. The distinct sites, in fractional coordinates, are Ba at (0.000, 0.000, 0.000), Ba at (0.500, 0.000, 0.293), Sb at (0.500, 0.000, 0.599) and Ir at (0.000, 0.000, 0.697).



No. 5
Below is TbCrO4 after structural relaxation, with properties calculated at the GGA-PBEsol level.

The calculation puts the formation energy from raw total energies at -2.640 eV per atom.

The structure belongs to space group I4_1/amd (No. 141, origin choice 2); the cell edges are 7.114, 7.114 and 6.210 Å and the angles 90.00°, 90.00° and 90.00°. The distinct sites, in fractional coordinates, are Tb at (0.000, 0.250, 0.375), Cr at (0.000, 0.250, 0.875) and O at (0.000, 0.067, 0.700).



No. 6
Below is Y2CoRh after structural relaxation, with properties calculated at the GGA-PBEsol level.

For the formation energy, the calculation gives -0.442 eV per atom.

The structure belongs to space group Amm2 (No. 38); the cell edges are 3.933, 3.893 and 10.331 Å and the angles 90.00°, 90.00° and 90.00°. The distinct sites, in fractional coordinates, are Y at (0.000, 0.000, 0.000), Y at (0.500, 0.000, 0.291), Co at (0.500, 0.000, 0.573) and Rh at (0.000, 0.000, 0.713).



No. 7
Below is Ta2Fe after structural relaxation, with properties calculated at the GGA-PBEsol level.

For the formation energy, the calculation gives -0.103 eV per atom.

The structure belongs to space group I4/mmm (No. 139); the cell edges are 3.072, 3.072 and 9.667 Å and the angles 90.00°, 90.00° and 90.00°. The distinct sites, in fractional coordinates, are Ta at (0.000, 0.000, 0.155) and Fe at (0.000, 0.000, 0.500).



No. 8
Below is PrPt3 after structural relaxation, with properties calculated at the GGA-PBEsol level.

For the formation energy, the calculation gives -0.772 eV per atom.

The structure belongs to space group Pm-3m (No. 221); the cell edges are 4.154, 4.154 and 4.154 Å and the angles 90.00°, 90.00° and 90.00°. The distinct sites, in fractional coordinates, are Pr at (0.000, 0.000, 0.000) and Pt at (0.000, 0.500, 0.500).



No. 9
Below is Sc2MnNiBi after structural relaxation, with properties calculated at the GGA-PBEsol level.

For the formation energy, the calculation gives 1.189 eV per atom.

The structure belongs to space group P4/mmm (No. 123); the cell edges are 5.356, 5.356 and 4.848 Å and the angles 90.00°, 90.00° and 90.00°. The distinct sites, in fractional coordinates, are Sc at (0.000, 0.500, 0.000), Mn at (0.000, 0.000, 0.500), Ni at (0.500, 0.500, 0.500) and Bi at (0.000, 0.000, 0.000).



No. 10
Below is LiTiSe2 after structural relaxation, with properties calculated at the GGA-PBEsol level.

The calculation puts the formation energy from raw total energies at -1.261 eV per atom.

The structure belongs to space group P-3m1 (No. 164); the cell edges are 3.5623, 3.5623 and 6.4429 Å and the angles 90.00°, 90.00° and 120.00°. The distinct sites, in fractional coordinates, are Li at (0.0000, 0.0000, 0.0000), Ti at (0.0000, 0.0000, 0.5000) and Se at (0.3333, 0.6667, 0.7403).



No. 11
Below is ScTaNi after structural relaxation, with properties calculated at the GGA-PBEsol level.

The offset from the most stable computed form comes out at 2.00 eV/f.u. For the formation energy, the calculation gives 0.797 eV per atom.

The structure belongs to space group F-43m (No. 216); the cell edges are 5.994, 5.994 and 5.994 Å and the angles 90.00°, 90.00° and 90.00°. The distinct sites, in fractional coordinates, are Sc at (0.000, 0.000, 0.000), Ta at (0.250, 0.250, 0.250) and Ni at (0.000, 0.000, 0.500).



No. 12
Below is KCdOs3 after structural relaxation, with properties calculated at the GGA-PBEsol level.

For the formation energy, the calculation gives 3.710 eV per atom.

The structure belongs to space group Pm-3m (No. 221); the cell edges are 4.548, 4.548 and 4.548 Å and the angles 90.00°, 90.00° and 90.00°. The distinct sites, in fractional coordinates, are K at (0.000, 0.000, 0.000), Cd at (0.500, 0.500, 0.500) and Os at (0.000, 0.000, 0.500).